GeOsBr2 (GGA-PBE, relaxed); symmetry = R-3m, No. 166; magnetization = 0.000 μB per cell; uncorrected formation energy = 0.79 eV/atom; ΔE to the lowest computed polymorph = 86 meV per atom
1.0
2.144 0.000 8.696
-1.072 1.857 8.696
-1.072 -1.857 8.696
Ge Os Br
1 1 2
Cartesian
0.000 0.000 0.000
0.000 0.000 13.045
0.000 0.000 23.076
0.000 0.000 3.013

***

GeOsBr2 (GGA-PBE, relaxed); symmetry = R-3m, No. 166; magnetization = 0.000 μB per cell; uncorrected formation energy = 0.70 eV/atom; ΔE to the lowest computed polymorph = 0 meV per atom
1.0
-1.898 7.960 10.021
-0.081 9.754 8.499
-2.999 9.769 7.935
Ge Os Br
1 1 2
Cartesian
-2.489 13.742 13.227
0.000 0.000 0.000
-4.670 25.785 24.820
-0.308 1.698 1.635

***

Ge2OsBr (GGA-PBE, relaxed); symmetry = I-42d, No. 122; magnetization = 0.000 μB per cell; uncorrected formation energy = 0.42 eV/atom; ΔE to the lowest computed polymorph = 0 meV per atom
1.0
-5.493 -0.857 -2.485
-2.180 -1.732 5.416
-5.266 4.324 2.687
Ge Os Br
4 2 2
Cartesian
-5.497 0.255 -0.419
-2.891 -0.035 3.961
-6.639 2.422 2.646
-10.853 0.828 5.048
0.000 0.000 0.000
-7.298 1.086 0.834
-3.837 -1.295 1.465
-5.642 0.649 4.785

***

GeOsBr2 (GGA-PBE, relaxed); symmetry = I-42d, No. 122; magnetization = 0.000 μB per cell; uncorrected formation energy = 1.16 eV/atom; ΔE to the lowest computed polymorph = 461 meV per atom
1.0
6.332 0.000 0.000
0.000 6.332 0.000
3.166 3.166 5.578
Ge Os Br
2 2 4
Cartesian
3.166 3.166 0.000
3.166 6.332 2.789
0.000 0.000 0.000
6.332 3.166 2.789
5.120 1.583 1.395
1.212 4.749 1.395
4.749 4.379 4.184
7.915 8.286 4.184

***

GeOsBr2 (GGA-PBE, relaxed); symmetry = Fm-3m, No. 225; magnetization = 0.002 μB per cell; uncorrected formation energy = 1.21 eV/atom; ΔE to the lowest computed polymorph = 512 meV per atom
1.0
0.174 -0.964 4.673
-3.331 -2.782 1.990
1.136 -4.391 1.491
Ge Os Br
1 1 2
Cartesian
0.000 0.000 0.000
-1.011 -4.068 4.077
-0.505 -2.034 2.038
-1.516 -6.102 6.115

***

GePOs2Br (GGA-PBE, relaxed); symmetry = P4/mmm, No. 123; magnetization = 2.136 μB per cell; uncorrected formation energy = 2.08 eV/atom
1.0
4.661 0.000 0.000
0.000 5.144 0.000
0.000 0.000 4.661
P Ge Os Br
1 1 2 1
Cartesian
2.331 2.572 2.331
0.000 0.000 0.000
0.000 0.000 2.331
2.331 0.000 0.000
0.000 2.572 0.000

***

GeOsPb2Br (GGA-PBE, relaxed); symmetry = P4/mmm, No. 123; magnetization = 1.083 μB per cell; uncorrected formation energy = 1.37 eV/atom
1.0
5.799 0.000 0.000
0.000 4.537 0.000
0.000 0.000 5.799
Pb Ge Os Br
2 1 1 1
Cartesian
0.000 0.000 2.899
2.899 0.000 0.000
2.899 2.269 2.899
0.000 2.269 0.000
0.000 0.000 0.000

***

Pm8Ge3OsBr4 (GGA-PBE, relaxed); symmetry = R-3m, No. 166; magnetization = 0.000 μB per cell; uncorrected formation energy = -1.02 eV/atom
1.0
8.537 0.000 0.000
0.000 8.836 0.206
-4.268 -4.266 6.038
Pm Ge Os Br
8 3 1 4
Cartesian
-2.232 2.058 6.049
0.000 4.290 2.892
0.000 0.291 3.222
2.232 2.058 6.049
2.036 2.512 0.196
4.268 4.279 3.022
4.268 0.281 3.353
6.501 2.512 0.196
4.268 4.418 0.103
2.134 2.285 3.122
-2.134 2.285 3.122
0.000 4.418 0.103
4.268 0.000 0.000
2.134 -2.133 3.019
0.000 0.000 0.000
-2.134 -2.133 3.019

***

Pm6GeOs2Br3 (GGA-PBE, relaxed); symmetry = C2/m, No. 12; magnetization = 0.000 μB per cell; uncorrected formation energy = -0.83 eV/atom
1.0
7.250 -0.004 -0.004
-3.627 6.278 -0.004
-1.212 -2.099 7.657
Pm Ge Os Br
6 1 2 3
Cartesian
3.692 1.968 6.124
2.347 4.064 1.522
-1.281 2.207 1.525
-0.140 4.182 6.124
0.064 0.111 6.127
2.552 -0.007 1.525
0.000 0.000 0.000
-0.001 4.184 -0.004
3.625 2.090 -0.004
-2.444 4.195 3.825
4.855 -0.020 3.825
1.206 2.087 3.825

***

Pm8GeOs3Br4 (GGA-PBE, relaxed); symmetry = R-3m, No. 166; magnetization = 0.000 μB per cell; uncorrected formation energy = -0.78 eV/atom
1.0
8.348 0.000 0.000
0.000 9.042 0.489
-4.174 -4.173 5.903
Pm Ge Os Br
8 1 3 4
Cartesian
-1.998 2.291 5.983
0.000 4.288 3.158
0.000 0.463 3.278
1.998 2.291 5.983
2.176 2.578 0.410
4.174 4.405 3.114
4.174 0.580 3.235
6.171 2.578 0.410
0.000 4.521 0.245
4.174 4.521 0.245
2.087 2.434 3.196
-2.087 2.434 3.196
4.174 0.000 0.000
2.087 -2.087 2.952
0.000 0.000 0.000
-2.087 -2.087 2.952

***

Pr8GeOs3Br4 (GGA-PBE, relaxed); symmetry = R-3m, No. 166; magnetization = 0.000 μB per cell; uncorrected formation energy = -0.77 eV/atom
1.0
8.466 0.000 0.000
0.000 9.164 0.492
-4.233 -4.232 5.987
Pr Ge Os Br
8 1 3 4
Cartesian
-2.029 2.321 6.068
0.000 4.349 3.199
0.000 0.459 3.317
2.029 2.321 6.068
2.204 2.611 0.411
4.233 4.473 3.162
4.233 0.583 3.280
6.262 2.611 0.411
0.000 4.582 0.246
4.233 4.582 0.246
2.117 2.466 3.239
-2.117 2.466 3.239
4.233 0.000 0.000
2.117 -2.116 2.993
0.000 0.000 0.000
-2.117 -2.116 2.993

***

GeOs2PtBr (GGA-PBE, relaxed); symmetry = P4/mmm, No. 123; magnetization = 0.857 μB per cell; uncorrected formation energy = 2.10 eV/atom
1.0
4.588 0.000 0.000
0.000 4.823 0.000
0.000 0.000 4.588
Ge Os Br Pt
1 2 1 1
Cartesian
2.294 2.412 2.294
0.000 0.000 2.294
2.294 0.000 0.000
0.000 0.000 0.000
0.000 2.412 0.000

***

Rb2GeOsBr6 (GGA-PBE, relaxed); symmetry = I4/mmm, No. 139; magnetization = 0.000 μB per cell; uncorrected formation energy = -0.67 eV/atom
1.0
-2.838 -2.522 -6.577
6.961 0.078 -3.034
2.821 -6.280 -3.194
Ge Os Br Rb
1 1 6 2
Cartesian
2.062 -1.222 -4.806
0.000 0.000 0.000
2.458 -3.864 -3.964
4.486 -4.861 -8.841
0.985 -0.584 -2.296
3.138 -1.860 -7.315
-0.498 -1.901 -5.731
4.621 -0.543 -3.880
1.022 -5.012 -7.288
5.922 -3.712 -5.517

***

RbGe2OsBr (GGA-PBE, relaxed); symmetry = P4/mmm, No. 123; magnetization = 0.000 μB per cell; uncorrected formation energy = 1.33 eV/atom
1.0
-4.316 1.681 -2.994
1.638 -2.317 -3.662
-2.826 -4.471 1.564
Ge Os Br Rb
2 1 1 1
Cartesian
-1.413 -2.235 0.782
-2.158 0.841 -1.497
0.819 -1.158 -1.831
0.000 0.000 0.000
-2.752 -2.553 -2.546

***

GeOsSe2Br (GGA-PBE, relaxed); symmetry = P4/mmm, No. 123; magnetization = 2.870 μB per cell; uncorrected formation energy = 1.93 eV/atom; ΔE to the lowest computed polymorph = 1308 meV per atom
1.0
-1.172 2.958 3.972
-4.320 -2.699 0.735
2.506 -3.166 3.098
Ge Os Se Br
1 1 2 1
Cartesian
-2.160 -1.349 0.368
-1.493 -1.453 3.903
1.253 -1.583 1.549
-0.586 1.479 1.986
0.000 0.000 0.000

***

GeOsSe2Br (GGA-PBE, relaxed); symmetry = P4/mmm, No. 123; magnetization = 4.151 μB per cell; uncorrected formation energy = 1.35 eV/atom; ΔE to the lowest computed polymorph = 731 meV per atom
1.0
5.019 0.000 0.000
0.000 5.019 0.000
0.000 0.000 5.047
Ge Os Se Br
1 1 2 1
Cartesian
0.000 0.000 0.000
2.509 2.509 2.523
0.000 2.509 0.000
2.509 0.000 0.000
0.000 0.000 2.523

***

GeOsSe2Br (GGA-PBE, relaxed); symmetry = P4/mmm, No. 123; magnetization = 0.000 μB per cell; uncorrected formation energy = 0.62 eV/atom; ΔE to the lowest computed polymorph = 0 meV per atom
1.0
4.852 0.000 0.000
0.000 4.852 0.000
0.000 0.000 5.167
Ge Os Se Br
1 1 2 1
Cartesian
2.426 2.426 2.583
0.000 0.000 0.000
0.000 2.426 0.000
2.426 0.000 0.000
0.000 0.000 2.583

***

SnGeOs2Br (GGA-PBE, relaxed); symmetry = P4/mmm, No. 123; magnetization = 0.000 μB per cell; uncorrected formation energy = 1.93 eV/atom
1.0
-2.796 3.648 -0.718
-3.641 -2.242 2.790
1.678 2.040 3.829
Ge Os Sn Br
1 2 1 1
Cartesian
-1.820 -1.121 1.395
0.839 1.020 1.915
-1.398 1.824 -0.359
-2.380 1.723 2.951
0.000 0.000 0.000

***

Ge19P4Br4 (GGA-PBE, relaxed); symmetry = P-43n, No. 218; magnetization = 0.000 μB per cell; uncorrected formation energy = -0.16 eV/atom
1.0
-8.025 -6.833 -0.675
6.626 -7.433 -3.521
1.803 -3.099 9.934
Ge P Br
38 8 8
Cartesian
-6.672 -8.652 1.956
2.006 -10.608 0.610
-1.632 -6.782 5.125
1.875 -5.700 3.475
-3.042 -9.904 3.097
-1.290 -8.555 -0.265
0.588 -6.908 -0.092
4.365 -9.883 -2.544
2.881 -6.183 8.756
-0.681 -14.269 6.880
-0.861 -4.842 8.543
-5.038 -8.309 -1.657
-5.337 -5.118 0.703
2.640 -14.888 4.774
3.645 -5.968 -2.503
-0.920 -15.521 3.109
2.020 -3.042 6.468
6.379 -7.515 -0.057
1.718 -8.837 5.990
-0.208 -10.429 5.843
3.452 -7.473 2.677
-1.478 -11.654 2.226
-2.030 -6.022 2.773
2.463 -11.317 2.967
0.075 -3.218 1.063
2.582 -8.219 0.501
0.795 -6.613 5.487
-2.847 -7.997 1.555
-0.806 -12.197 -1.578
5.380 -9.846 5.100
-3.841 -9.469 6.891
0.277 -11.900 3.932
2.558 -3.408 4.087
-3.562 -4.191 2.146
-2.660 -5.741 7.113
-2.706 -8.841 -2.267
1.307 -5.425 -1.929
5.870 -7.124 2.326
0.329 -14.168 4.681
-2.164 -9.143 5.222
-0.388 -10.739 0.267
3.231 -9.363 4.174
1.213 -5.155 7.332
-4.995 -7.514 0.630
4.260 -7.893 -1.168
0.127 -5.485 1.812
3.763 -4.491 0.723
0.957 -8.991 -2.978
-2.356 -5.275 -1.218
-1.105 -3.258 4.798
-5.117 -6.674 4.461
4.665 -6.041 5.690
0.000 0.000 0.000
0.202 -8.682 2.869

***

Ge2PBr (GGA-PBE, relaxed); symmetry = I-42d, No. 122; magnetization = 0.000 μB per cell; uncorrected formation energy = 0.18 eV/atom; ΔE to the lowest computed polymorph = 0 meV per atom
1.0
-5.307 4.292 2.309
-3.149 -0.414 -6.467
-6.231 -1.170 -0.904
P Ge Br
2 4 2
Cartesian
-4.228 1.939 -2.079
-6.804 0.177 -4.725
-4.974 2.100 0.281
-4.483 0.222 -3.851
-8.019 0.553 -2.595
-11.898 2.538 -3.958
0.000 0.000 0.000
-7.883 2.530 -0.337